Below is a relaxed TlTe2Au crystal, with properties calculated at the GGA-PBEsol level.

## Properties
DOS at the Fermi energy in states/eV/f.u.: 2.2
Raw formation energy in kJ/mol of formula units: 85.6

Cell: 7.379 7.379 7.379 Å, 90.00 90.00 90.00°
Space group F-43m (No. 216)
One atom of each set of equivalent atoms:
Tl: 0.000 0.000 0.000
Te: 0.000 0.000 0.500
Te: 0.250 0.250 0.750
Au: 0.250 0.250 0.250



Below is a relaxed HgBiRuBr2 crystal, with properties calculated at the GGA-PBEsol level.

## Properties
DOS at the Fermi energy in states/eV/f.u.: 7.7
Raw formation energy in kJ/mol of formula units: 553.5

Cell: 5.232 5.232 5.333 Å, 90.00 90.00 90.00°
Space group P4/mmm (No. 123)
One atom of each set of equivalent atoms:
Hg: 0.000 0.000 0.000
Bi: 0.500 0.500 0.500
Ru: 0.000 0.000 0.500
Br: 0.000 0.500 0.000



Below is a relaxed SnAs2Se2 crystal, with properties calculated at the GGA-PBEsol level.

## Properties
DOS at the Fermi energy in states/eV/f.u.: 2.3
Energy relative to the lowest polymorph listed for this composition in meV/atom: 73
Raw formation energy in kJ/mol of formula units: 49.9

Cell: 3.723 3.723 15.979 Å, 90.00 90.00 90.00°
Space group I4/mmm (No. 139)
One atom of each set of equivalent atoms:
Sn: 0.000 0.000 0.000
As: 0.000 0.500 0.250
Se: 0.000 0.000 0.399



Below is a relaxed Zr3MnCd crystal, with properties calculated at the GGA-PBEsol level.

## Properties
DOS at the Fermi energy in states/eV/f.u.: 8.0
Formation enthalpy at 0 K in eV/f.u.: 7.21

Cell: 5.142 5.142 5.142 Å, 90.00 90.00 90.00°
Space group Pm-3m (No. 221)
One atom of each set of equivalent atoms:
Zr: 0.000 0.000 0.500
Mn: 0.500 0.500 0.500
Cd: 0.000 0.000 0.000



Below is a relaxed Cu2Sn2Bi crystal, with properties calculated at the GGA-PBEsol level.

## Properties
DOS at the Fermi energy in states/eV/f.u.: 1.7
Formation enthalpy at 0 K in eV/f.u.: 0.90

Cell: 4.213 4.213 11.757 Å, 90.00 90.00 90.00°
Space group I4/mmm (No. 139)
One atom of each set of equivalent atoms:
Cu: 0.000 0.000 0.101
Sn: 0.000 0.500 0.250
Bi: 0.000 0.000 0.500



Below is a relaxed BaTa2BW crystal, with properties calculated at the GGA-PBEsol level.

## Properties
DOS at the Fermi energy in states/eV/f.u.: 5.7
Formation enthalpy at 0 K in eV/f.u.: 17.45

Cell: 5.095 5.095 4.045 Å, 90.00 90.00 90.00°
Space group P4/mmm (No. 123)
One atom of each set of equivalent atoms:
Ba: 0.000 0.000 0.000
Ta: 0.000 0.500 0.000
B: 0.000 0.000 0.500
W: 0.500 0.500 0.500



Below is a relaxed Be3FeCl crystal, with properties calculated at the GGA-PBEsol level.

## Properties
DOS at the Fermi energy in states/eV/f.u.: 5.8
Raw formation energy in kJ/mol of formula units: 538.1

Cell: 4.136 4.136 4.136 Å, 90.00 90.00 90.00°
Space group Pm-3m (No. 221)
One atom of each set of equivalent atoms:
Be: 0.000 0.000 0.500
Fe: 0.000 0.000 0.000
Cl: 0.500 0.500 0.500



Below is a relaxed In2Rh2W crystal, with properties calculated at the GGA-PBEsol level.

## Properties
DOS at the Fermi energy in states/eV/f.u.: 7.8
Formation enthalpy at 0 K in eV/f.u.: 4.00

Cell: 3.685 3.685 13.124 Å, 90.00 90.00 90.00°
Space group I4/mmm (No. 139)
One atom of each set of equivalent atoms:
In: 0.000 0.000 0.104
Rh: 0.000 0.500 0.250
W: 0.000 0.000 0.500



Below is a relaxed BMo3I crystal, with properties calculated at the GGA-PBEsol level.

## Properties
DOS at the Fermi energy in states/eV/f.u.: 5.4
Raw formation energy in kJ/mol of formula units: 1500.1

Cell: 4.780 4.780 4.780 Å, 90.00 90.00 90.00°
Space group Pm-3m (No. 221)
One atom of each set of equivalent atoms:
B: 0.000 0.000 0.000
Mo: 0.000 0.500 0.500
I: 0.500 0.500 0.500



Below is a relaxed YAl3C3 crystal, with properties calculated at the GGA-PBEsol level.

## Properties
DOS at the Fermi energy in states/eV/f.u.: 0.1
Formation enthalpy at 0 K in eV/f.u.: -2.30

Cell: 3.4148 3.4148 17.1834 Å, 90.00 90.00 120.00°
Space group P6_3/mmc (No. 194)
One atom of each set of equivalent atoms:
Y: 0.0000 0.0000 0.0000
Al: 0.3333 0.6667 0.1332
Al: 0.3333 0.6667 0.7500
C: 0.3333 0.6667 0.2500
C: 0.3333 0.6667 0.5926



Below is a relaxed SiP4H8 crystal, with properties calculated at the GGA-PBEsol level.

## Properties
DOS at the Fermi energy in states/eV/f.u.: 0.0

Cell: 9.987 6.993 10.666 Å, 90.00 101.76 90.00°
Space group P2_1/c (No. 14)
One atom of each set of equivalent atoms:
Si: 0.233 0.068 0.351
P: 0.050 0.057 0.187
P: 0.187 0.580 0.025
P: 0.291 0.130 0.919
P: 0.417 0.573 0.797
H: 0.035 0.658 0.241
H: 0.089 0.228 0.129
H: 0.209 0.729 0.482
H: 0.306 0.068 0.795
H: 0.328 0.557 0.087
H: 0.345 0.748 0.758
H: 0.390 0.001 0.168
H: 0.434 0.178 0.957



Below is a relaxed Pr3In crystal, with properties calculated at the GGA-PBEsol level.

## Properties
DOS at the Fermi energy in states/eV/f.u.: 5.2
Formation enthalpy at 0 K in eV/f.u.: -1.27

Cell: 4.921 4.921 4.921 Å, 90.00 90.00 90.00°
Space group Pm-3m (No. 221)
One atom of each set of equivalent atoms:
Pr: 0.000 0.000 0.500
In: 0.500 0.500 0.500



Number 1: total energy -3.18 eV per atom, calculated volume 401.9 Å³/cell. Number 2: total energy -2.61 eV per atom, calculated volume 146.0 Å³/cell. Number 3: total energy -4.33 eV per atom, calculated volume 221.5 Å³/cell. Number 4: total energy -6.20 eV per atom, calculated volume 135.9 Å³/cell. Number 5: total energy -4.12 eV per atom, calculated volume 208.7 Å³/cell. Number 6: total energy -6.12 eV per atom, calculated volume 105.0 Å³/cell. Number 7: total energy -3.48 eV per atom, calculated volume 70.8 Å³/cell. Number 8: total energy -6.41 eV per atom, calculated volume 178.2 Å³/cell. Number 9: total energy -5.71 eV per atom, calculated volume 109.2 Å³/cell. Number 10: total energy -7.19 eV per atom, calculated volume 173.5 Å³/cell. Number 11: total energy -4.24 eV per atom, calculated volume 729.2 Å³/cell. Number 12: total energy -4.95 eV per atom, calculated volume 119.2 Å³/cell.